The following is a DFT calculation (PBE-GGA) of a relaxed structure of TaTiGa2O8.

Output
formation energy (no corrections) = -2.108 eV/atom
energy = -7.56 eV/atom

Cell lengths 5.6140, 5.6140, 5.6140 Å; angles 110.16, 110.16, 108.11 degrees
Last column: nearest neighbours and their distance in Å.
Sites, in units of the cell vectors:
O: 0.5053 0.7028 0.8024  1 Ga 1.84, 1 Ti 1.97
O: 0.3564 0.0550 0.3015  1 Ga 1.81, 1 Ta 1.97
O: 0.9450 0.2465 0.3015  1 Ga 1.81, 1 Ta 1.97
O: 0.7535 0.0550 0.6985  1 Ga 1.81, 1 Ta 1.97
O: 0.9004 0.7028 0.1976  1 Ga 1.84, 1 Ti 1.97
O: 0.2972 0.4947 0.1976  1 Ga 1.84, 1 Ti 1.97
O: 0.9450 0.6436 0.6985  1 Ga 1.81, 1 Ta 1.97
O: 0.2972 0.0996 0.8024  1 Ga 1.84, 1 Ti 1.97
Ga: 0.5000 0.5000 0.0000  4 O 1.84
Ga: 0.7500 0.2500 0.5000  4 O 1.81
Ta: 0.0000 0.0000 0.0000  4 O 1.97
Ti: 0.2500 0.7500 0.5000  4 O 1.97

***

The following is a DFT calculation (PBE-GGA) of a relaxed structure of TaTiGaO6.

Output
formation energy (no corrections) = -2.595 eV/atom
energy = -8.43 eV/atom

Cell lengths 4.6816, 4.6816, 9.0677 Å; angles 90.00, 90.00, 90.00 degrees
Last column: nearest neighbours and their distance in Å.
Sites, in units of the cell vectors:
Ta: 0.0000 0.0000 0.3335  6 O 1.99-2.02
Ta: 0.5000 0.5000 0.8335  6 O 1.99-2.02
O: 0.8009 0.1991 0.4987  1 Ti 1.99, 1 Ta 2.00, 1 Ga 2.02
O: 0.1991 0.8009 0.4987  1 Ti 1.99, 1 Ta 2.00, 1 Ga 2.02
O: 0.8045 0.1955 0.8354  1 Ti 1.97, 1 Ga 2.00, 1 Ta 2.02
O: 0.3009 0.3009 0.9987  1 Ti 1.99, 1 Ta 2.00, 1 Ga 2.02
O: 0.8055 0.1945 0.1657  1 Ti 1.98, 1 Ta 1.99, 1 Ga 2.02
O: 0.3045 0.3045 0.3354  1 Ti 1.97, 1 Ga 2.00, 1 Ta 2.02
O: 0.1945 0.8055 0.1657  1 Ti 1.98, 1 Ta 1.99, 1 Ga 2.02
O: 0.1955 0.8045 0.8354  1 Ti 1.97, 1 Ga 2.00, 1 Ta 2.02
O: 0.3055 0.3055 0.6657  1 Ti 1.98, 1 Ta 1.99, 1 Ga 2.02
O: 0.6945 0.6945 0.6657  1 Ti 1.98, 1 Ta 1.99, 1 Ga 2.02
O: 0.6955 0.6955 0.3354  1 Ti 1.97, 1 Ga 2.00, 1 Ta 2.02
O: 0.6991 0.6991 0.9987  1 Ti 1.99, 1 Ta 2.00, 1 Ga 2.02
Ti: 0.0000 0.0000 0.9994  6 O 1.97-1.99
Ti: 0.5000 0.5000 0.4994  6 O 1.97-1.99
Ga: 0.5000 0.5000 0.1675  6 O 2.00-2.02
Ga: 0.0000 0.0000 0.6675  6 O 2.00-2.02

***

The following is a DFT calculation (PBE-GGA) of a relaxed structure of TaTl2Ga2O6.

Output
formation energy (no corrections) = -1.666 eV/atom
energy = -6.43 eV/atom

Cell lengths 5.8354, 5.8634, 6.9364 Å; angles 117.31, 90.00, 119.84 degrees
Last column: nearest neighbours and their distance in Å.
Sites, in units of the cell vectors:
O: 0.7275 0.4551 0.6360  1 Ga 1.83, 1 Ta 1.98
O: 0.2823 0.0503 0.7237  1 Ga 1.85, 1 Ta 2.02
O: 0.7177 0.9497 0.2763  1 Ga 1.85, 1 Ta 2.02
O: 0.7680 0.0503 0.7237  1 Ga 1.85, 1 Ta 2.02
O: 0.2320 0.9497 0.2763  1 Ga 1.85, 1 Ta 2.02
O: 0.2725 0.5449 0.3640  1 Ga 1.83, 1 Ta 1.98
Tl: 0.2929 0.5857 0.8428  4 O 2.82-2.93
Tl: 0.7071 0.4143 0.1572  4 O 2.82-2.93
Ga: 0.0622 0.1245 0.2333  3 O 1.83-1.85
Ga: 0.9378 0.8755 0.7667  3 O 1.83-1.85
Ta: 0.5000 0.0000 0.5000  6 O 1.98-2.02

***

The following is a DFT calculation (PBE-GGA) of a relaxed structure of YTaGa2O8.

Output
formation energy (no corrections) = -2.082 eV/atom
energy = -7.42 eV/atom

Cell lengths 5.8300, 5.8300, 5.8300 Å; angles 108.05, 108.05, 112.36 degrees
Last column: nearest neighbours and their distance in Å.
Sites, in units of the cell vectors:
O: 0.9661 0.6401 0.6740  1 Ga 1.84
O: 0.4787 0.6847 0.7939  1 Ga 1.85, 1 Ta 2.06
O: 0.3153 0.5213 0.2061  1 Ga 1.85, 1 Ta 2.06
O: 0.8908 0.6847 0.2061  1 Ga 1.85, 1 Ta 2.06
O: 0.7078 0.0339 0.6740  1 Ga 1.84
O: 0.9661 0.2922 0.3260  1 Ga 1.84
O: 0.3153 0.1092 0.7939  1 Ga 1.85, 1 Ta 2.06
O: 0.3599 0.0339 0.3260  1 Ga 1.84
Ta: 0.2500 0.7500 0.5000  8 O 2.06-2.19
Ga: 0.7500 0.2500 0.5000  4 O 1.84
Ga: 0.5000 0.5000 0.0000  4 O 1.85
Y: 0.0000 0.0000 0.0000  8 O 2.24-2.49

***

The following is a DFT calculation (PBE-GGA) of a relaxed structure of TaZnGa2O.

Output
formation energy (no corrections) = 0.413 eV/atom
energy = -4.41 eV/atom

Cell lengths 5.1702, 3.3478, 5.1702 Å; angles 90.00, 90.00, 90.00 degrees
Last column: nearest neighbours and their distance in Å.
Sites, in units of the cell vectors:
Ga: 0.0000 0.0000 0.5000  2 Zn 2.59
Ga: 0.5000 0.0000 0.0000  2 Zn 2.59
Ta: 0.5000 0.5000 0.5000  8 Ga 3.08, 2 Ta 3.35
O: 0.0000 0.5000 0.0000  2 Zn 1.67
Zn: 0.0000 0.0000 0.0000  2 O 1.67

***

The following is a DFT calculation (PBE-GGA) of a relaxed structure of Tb6Ga3O.

Output
formation energy (no corrections) = -0.871 eV/atom
energy = -5.05 eV/atom

Cell lengths 6.4077, 7.8246, 9.7101 Å; angles 90.00, 85.28, 90.00 degrees
Last column: nearest neighbours and their distance in Å.
Sites, in units of the cell vectors:
Ga: 0.5000 0.5000 0.0000  6 Tb 2.89-2.96
Ga: 0.9251 0.3814 0.7561  6 Tb 2.95-3.13
Ga: 0.0000 0.0000 0.5000  6 Tb 2.89-2.96
Ga: 0.5749 0.8814 0.7439  6 Tb 2.95-3.13
Ga: 0.0749 0.6186 0.2439  6 Tb 2.95-3.13
Ga: 0.4251 0.1186 0.2561  6 Tb 2.95-3.13
Tb: 0.1211 0.2899 0.0612  1 O 2.49
Tb: 0.6211 0.2101 0.5612  1 O 2.49
Tb: 0.8789 0.7101 0.9388  1 O 2.49
Tb: 0.1682 0.3475 0.4419  1 O 2.54
Tb: 0.6682 0.1525 0.9419  1 O 2.54
Tb: 0.3318 0.8475 0.0581  1 O 2.54
Tb: 0.8451 0.9516 0.2319  1 O 2.41
Tb: 0.3451 0.5484 0.7319  1 O 2.41
Tb: 0.3789 0.7899 0.4388  1 O 2.49
Tb: 0.1549 0.0484 0.7681  1 O 2.41
Tb: 0.6549 0.4516 0.2681  1 O 2.41
Tb: 0.8318 0.6525 0.5581  1 O 2.54
O: 0.5000 0.5000 0.5000  6 Tb 2.41-2.54
O: 0.0000 0.0000 0.0000  6 Tb 2.41-2.54